1.
! PBE YZr5O12, optimized geometry; values from VASP
! **Uncorrected energy**: -9.24 eV/atom
! **Formation energy (no corrections)**: -3.20 eV/atom
&SYSTEM
  ibrav = 0, nat = 18, ntyp = 3
/
ATOMIC_SPECIES
Y 88.91 Y.upf
Zr 91.22 Zr.upf
O 16.00 O.upf
ATOMIC_POSITIONS crystal
Y 0.000 0.000 0.000
Zr 0.040 0.960 0.500
Zr 0.289 0.354 0.664
Zr 0.361 0.327 0.169
Zr 0.646 0.711 0.336
Zr 0.673 0.639 0.831
O 0.037 0.585 0.939
O 0.068 0.616 0.387
O 0.273 0.691 0.750
O 0.309 0.727 0.250
O 0.384 0.932 0.613
O 0.415 0.963 0.061
O 0.527 0.102 0.431
O 0.562 0.158 0.903
O 0.761 0.188 0.272
O 0.812 0.239 0.728
O 0.842 0.438 0.097
O 0.898 0.473 0.569
CELL_PARAMETERS angstrom
6.130 -2.642 0.000
6.130 2.642 0.000
-2.288 0.000 6.813

=====

2.
! PBE V3H4, optimized geometry; values from VASP
! **Uncorrected energy**: -5.85 eV/atom
&SYSTEM
  ibrav = 0, nat = 14, ntyp = 2
/
ATOMIC_SPECIES
V 50.94 V.upf
H 1.01 H.upf
ATOMIC_POSITIONS crystal
V 0.125 0.875 0.250
V 0.250 0.125 0.875
V 0.375 0.625 0.750
V 0.625 0.750 0.375
V 0.750 0.375 0.625
V 0.875 0.250 0.125
H 0.000 0.140 0.500
H 0.000 0.640 0.500
H 0.140 0.500 0.000
H 0.360 0.360 0.360
H 0.500 0.000 0.140
H 0.500 0.000 0.640
H 0.640 0.500 0.000
H 0.860 0.860 0.860
CELL_PARAMETERS angstrom
-2.898 2.898 2.898
2.898 -2.898 2.898
2.898 2.898 -2.898

=====

3.
! PBE LuScVIr, optimized geometry; values from VASP
! **Uncorrected energy**: -7.59 eV/atom
! **Energy relative to the elements**: -0.383 eV/atom
&SYSTEM
  ibrav = 0, nat = 4, ntyp = 4
/
ATOMIC_SPECIES
Lu 174.97 Lu.upf
Sc 44.96 Sc.upf
V 50.94 V.upf
Ir 192.22 Ir.upf
ATOMIC_POSITIONS crystal
Lu 0.000 0.000 0.000
Sc 0.500 0.500 0.500
V 0.250 0.250 0.250
Ir 0.750 0.750 0.750
CELL_PARAMETERS angstrom
0.000 3.347 3.347
3.347 0.000 3.347
3.347 3.347 0.000

=====

4.
! PBE RbTl3Cd, optimized geometry; values from VASP
! **Uncorrected energy**: -1.84 eV/atom
! **Energy relative to the elements**: -0.045 eV/atom
&SYSTEM
  ibrav = 0, nat = 20, ntyp = 3
/
ATOMIC_SPECIES
Rb 85.47 Rb.upf
Tl 204.38 Tl.upf
Cd 112.41 Cd.upf
ATOMIC_POSITIONS crystal
Rb 0.176 0.250 0.001
Rb 0.324 0.750 0.501
Rb 0.676 0.250 0.499
Rb 0.824 0.750 0.999
Tl 0.087 0.250 0.397
Tl 0.118 0.750 0.214
Tl 0.130 0.750 0.785
Tl 0.370 0.250 0.285
Tl 0.382 0.250 0.714
Tl 0.413 0.750 0.897
Tl 0.587 0.250 0.103
Tl 0.618 0.750 0.286
Tl 0.630 0.750 0.715
Tl 0.870 0.250 0.215
Tl 0.882 0.250 0.786
Tl 0.913 0.750 0.603
Cd 0.103 0.250 0.627
Cd 0.397 0.750 0.127
Cd 0.603 0.250 0.873
Cd 0.897 0.750 0.373
CELL_PARAMETERS angstrom
10.196 0.000 0.000
0.000 4.952 0.000
0.000 0.000 13.593